Record 1
TbHoMgZn | Alexandria | PBE-GGA | optimized geometry; energy relative to the elements = -0.208 eV/atom; energy above the lowest structure with this stoichiometry = 0.00 kcal/mol of atoms; density of states at the Fermi level = 4.6 states/eV per cell
1.0
3.5827 0.0000 0.0000
0.0000 3.5827 0.0000
0.0000 0.0000 7.8045
Tb Ho Mg Zn
1 1 1 1
direct
0.0000 0.0000 0.0000
0.0000 0.0000 0.4456
0.5000 0.5000 0.7199
0.5000 0.5000 0.2275

=====

Record 2
Ta4Nb4Sn | Alexandria | PBE-GGA | optimized geometry; energy relative to the elements = 0.579 eV/atom; density of states at the Fermi level = 16.0 states/eV per cell
1.0
6.1157 0.0000 0.0000
0.0000 6.1157 0.0000
0.0000 0.0000 9.9988
Ta Nb Sn
8 8 2
direct
0.0275 0.2500 0.1842
0.2500 0.0275 0.6842
0.2500 0.4725 0.6842
0.4725 0.2500 0.1842
0.5275 0.7500 0.8158
0.7500 0.5275 0.3158
0.7500 0.9725 0.3158
0.9725 0.7500 0.8158
0.0084 0.7500 0.5112
0.2500 0.5084 0.9888
0.2500 0.9916 0.9888
0.4916 0.7500 0.5112
0.5084 0.2500 0.4888
0.7500 0.0084 0.0112
0.7500 0.4916 0.0112
0.9916 0.2500 0.4888
0.2500 0.7500 0.2500
0.7500 0.2500 0.7500

=====

Record 3
ZnAgCl3 | Alexandria | PBE-GGA | optimized geometry; energy above the lowest structure with this stoichiometry = 6.64 kcal/mol of atoms; uncorrected formation energy = -0.564 eV/atom; density of states at the Fermi level = 0.0 states/eV per cell
1.0
4.8641 0.0000 0.0000
0.0000 4.8641 0.0000
0.0000 0.0000 4.8641
Zn Ag Cl
1 1 3
direct
0.0000 0.0000 0.0000
0.5000 0.5000 0.5000
0.0000 0.0000 0.5000
0.0000 0.5000 0.0000
0.5000 0.0000 0.0000

=====

Record 4
Ho5Tm4Tc2 | Alexandria | PBE-GGA | optimized geometry; energy relative to the elements = 0.025 eV/atom; density of states at the Fermi level = 14.4 states/eV per cell
1.0
8.2764 0.0000 0.0000
0.0000 3.5845 0.0000
-0.2883 0.0000 10.3185
Ho Tm Tc
5 4 2
direct
0.0000 0.0000 0.0000
0.0626 0.0000 0.3409
0.3411 0.0000 0.8444
0.6589 0.0000 0.1556
0.9374 0.0000 0.6591
0.3174 0.5000 0.1452
0.3181 0.5000 0.5515
0.6819 0.5000 0.4485
0.6826 0.5000 0.8548
0.4183 0.0000 0.3438
0.5817 0.0000 0.6562

=====

Record 5
BOF3 | Alexandria | PBE-GGA | optimized geometry; energy above the lowest structure with this stoichiometry = 38.32 kcal/mol of atoms; uncorrected formation energy = -0.557 eV/atom; density of states at the Fermi level = 2.1 states/eV per cell
1.0
3.3783 0.0000 0.0000
0.0000 3.3783 0.0000
0.0000 0.0000 3.3783
B O F
1 1 3
direct
0.0000 0.0000 0.0000
0.5000 0.5000 0.5000
0.0000 0.0000 0.5000
0.0000 0.5000 0.0000
0.5000 0.0000 0.0000

=====

Record 6
GdGaAu | Alexandria | PBE-GGA | optimized geometry; energy relative to the elements = -0.617 eV/atom; density of states at the Fermi level = 3.4 states/eV per cell
1.0
0.0000 3.3289 3.3289
3.3289 0.0000 3.3289
3.3289 3.3289 0.0000
Gd Ga Au
1 1 1
direct
0.0000 0.0000 0.0000
0.5000 0.5000 0.5000
0.7500 0.7500 0.7500

=====

Record 7
SmZn4CuPd2 | Alexandria | PBE-GGA | optimized geometry; energy relative to the elements = -0.378 eV/atom; density of states at the Fermi level = 4.3 states/eV per cell
1.0
2.1517 1.2423 8.5092
-2.1517 1.2423 8.5092
0.0000 -2.4846 8.5092
Sm Zn Cu Pd
1 4 1 2
direct
0.0000 0.0000 0.0000
0.1318 0.1318 0.1318
0.4015 0.4015 0.4015
0.5985 0.5985 0.5985
0.8682 0.8682 0.8682
0.5000 0.5000 0.5000
0.2355 0.2355 0.2355
0.7645 0.7645 0.7645

=====

Record 8
SmZrTc4 | Alexandria | PBE-GGA | optimized geometry; energy relative to the elements = -0.108 eV/atom; density of states at the Fermi level = 11.4 states/eV per cell
1.0
0.0000 3.7967 3.7967
3.7967 0.0000 3.7967
3.7967 3.7967 0.0000
Sm Zr Tc
1 1 4
direct
0.0000 0.0000 0.0000
0.7500 0.7500 0.7500
0.3754 0.3754 0.3754
0.3754 0.3754 0.8738
0.3754 0.8738 0.3754
0.8738 0.3754 0.3754